(1)
An optimized crystal structure of TaAg7S6, computed with PBEsol.

abc: 7.1107 7.5680 10.3760
angles: 89.39 90.00 90.00
Last column: nearest neighbours and their distance in Å.
Element x y z (fractional)
Ta1 0.7453 0.9952 0.0005  4 S 2.29-2.31
Ta2 0.2547 0.4952 0.5005  4 S 2.29-2.31
Ag1 0.3820 0.3038 0.1563  4 S 2.49-2.64
Ag2 0.0784 0.7406 0.2066  4 S 2.54-2.61
Ag3 0.5084 0.3166 0.7364  3 S 2.43-2.60
Ag4 0.2919 0.9820 0.0281  3 S 2.45-2.59
Ag5 0.8372 0.0331 0.2955  2 S 2.46-2.48
Ag6 0.6180 0.8038 0.6563  4 S 2.49-2.64
Ag7 0.9673 0.7795 0.4894  3 S 2.44-2.53
Ag8 0.1628 0.5331 0.7955  2 S 2.46-2.48
Ag9 0.4666 0.0600 0.4380  3 S 2.42-2.63
Ag10 0.0327 0.2795 0.9894  3 S 2.44-2.53
Ag11 0.7081 0.4820 0.5281  3 S 2.45-2.59
Ag12 0.9216 0.2406 0.7066  4 S 2.54-2.61
Ag13 0.5334 0.5600 0.9380  3 S 2.42-2.63
Ag14 0.4916 0.8166 0.2364  3 S 2.43-2.60
S1 0.2307 0.0320 0.2657  5 Ag 2.46-2.57
S2 0.4869 0.5073 0.3482  1 Ta 2.29, 1 Ag 2.45
S3 0.7785 0.0416 0.5308  5 Ag 2.42-2.59
S4 0.5131 0.0073 0.8482  1 Ta 2.29, 1 Ag 2.45
S5 0.2215 0.5416 0.0308  5 Ag 2.42-2.59
S6 0.7416 0.2452 0.1271  1 Ta 2.31, 2 Ag 2.46-2.53
S7 0.2474 0.2222 0.6027  1 Ta 2.31, 2 Ag 2.43-2.56
S8 0.7526 0.7222 0.1027  1 Ta 2.31, 2 Ag 2.43-2.56
S9 0.0087 0.9919 0.8718  1 Ta 2.30, 1 Ag 2.51
S10 0.7693 0.5320 0.7657  5 Ag 2.46-2.57
S11 0.2584 0.7452 0.6271  1 Ta 2.31, 2 Ag 2.46-2.53
S12 0.9913 0.4919 0.3718  1 Ta 2.30, 1 Ag 2.51

## Properties
**Magnetic moment**: 0.000 μB per formula unit
**Energy relative to the lowest polymorph listed for this composition**: 0.0000 eV per atom
**E**: -4.6914 eV/atom
**Space-group type**: Pc, No. 7
**E_form (uncorrected)**: -0.260 eV/atom

---

(2)
An optimized crystal structure of ZrTaAgS2, computed with PBEsol.

abc: 4.6086 4.6086 5.0221
angles: 90.00 90.00 90.00
Last column: nearest neighbours and their distance in Å.
Element x y z (fractional)
S1 0.0000 0.5000 0.0000  2 Ag 2.30
S2 0.5000 0.0000 0.0000  2 Ag 2.30
Zr1 0.0000 0.0000 0.5000  2 Ag 2.51
Ag1 0.0000 0.0000 0.0000  4 S 2.30, 2 Zr 2.51
Ta1 0.5000 0.5000 0.5000  4 Zr 3.26, 8 S 3.41

## Properties
**N(E_F)**: 1.080 states/eV per atom
**Magnetic moment**: 1.030 μB per formula unit
**E**: -5.5225 eV/atom
**Space-group type**: P4/mmm, No. 123
**E_form (uncorrected)**: 1.222 eV/atom

---

(3)
An optimized crystal structure of ZnTcAg2S, computed with PBEsol.

abc: 4.6199 4.6199 4.7045
angles: 90.00 90.00 90.00
Last column: nearest neighbours and their distance in Å.
Element x y z (fractional)
S1 0.5000 0.5000 0.5000  4 Tc 3.27, 8 Ag 3.30
Zn1 0.0000 0.0000 0.0000  4 Ag 2.31, 2 Tc 2.35
Tc1 0.0000 0.0000 0.5000  2 Zn 2.35
Ag1 0.0000 0.5000 0.0000  2 Zn 2.31
Ag2 0.5000 0.0000 0.0000  2 Zn 2.31

## Properties
**N(E_F)**: 0.616 states/eV per atom
**Magnetic moment**: 2.684 μB per formula unit
**E**: -3.5731 eV/atom
**Space-group type**: P4/mmm, No. 123
**E_form (uncorrected)**: 1.198 eV/atom

---

(4)
An optimized crystal structure of AgTeS2, computed with PBEsol.

abc: 4.2579 4.2579 7.4831
angles: 73.47 73.47 60.00
Last column: nearest neighbours and their distance in Å.
Element x y z (fractional)
S1 0.8911 0.8911 0.3266  1 Ag 2.31
S2 0.1089 0.1089 0.6734  1 Ag 2.31
Te1 0.5000 0.5000 0.5000  6 S 2.75
Ag1 0.0000 0.0000 0.0000  2 S 2.31

## Properties
**N(E_F)**: 0.371 states/eV per atom
**Magnetic moment**: 0.000 μB per formula unit
**E**: -3.7092 eV/atom
**Space-group type**: R-3m, No. 166
**E_form (uncorrected)**: 0.192 eV/atom

---

(5)
An optimized crystal structure of V3Ag2TeS6, computed with PBEsol.

abc: 5.4179 5.4179 7.9762
angles: 90.00 90.00 120.00
Last column: nearest neighbours and their distance in Å.
Element x y z (fractional)
V1 0.3414 0.0000 0.5000  6 S 2.31-2.32
V2 0.6586 0.6586 0.5000  6 S 2.31-2.32
V3 0.0000 0.3414 0.5000  6 S 2.31-2.32
Ag1 0.3333 0.6667 0.0000  2 S 2.51
Ag2 0.6667 0.3333 0.0000  2 S 2.51
Te1 0.0000 0.0000 0.0000  2 S 2.60
S1 0.6667 0.3333 0.3146  3 V 2.32, 1 Ag 2.51
S2 0.6667 0.3333 0.6854  3 V 2.32, 1 Ag 2.51
S3 0.3333 0.6667 0.3146  3 V 2.32, 1 Ag 2.51
S4 0.3333 0.6667 0.6854  3 V 2.32, 1 Ag 2.51
S5 0.0000 0.0000 0.3264  3 V 2.31
S6 0.0000 0.0000 0.6736  3 V 2.31

## Properties
**N(E_F)**: 0.521 states/eV per atom
**Magnetic moment**: 0.000 μB per formula unit
**E**: -6.2507 eV/atom
**Space-group type**: P-62m, No. 189
**E_form (uncorrected)**: -0.804 eV/atom

---

(6)
An optimized crystal structure of Ti6AgS12, computed with PBEsol.

abc: 5.8273 8.4192 8.4192
angles: 73.60 69.95 69.95
Last column: nearest neighbours and their distance in Å.
Element x y z (fractional)
Ti1 0.7461 0.4148 0.0818  6 S 2.39-2.42
Ti2 0.2514 0.2453 0.2453  6 S 2.39-2.47
Ti3 0.7461 0.0818 0.4148  6 S 2.39-2.42
Ti4 0.2539 0.9182 0.5852  6 S 2.39-2.42
Ti5 0.7486 0.7547 0.7547  6 S 2.39-2.47
Ti6 0.2539 0.5852 0.9182  6 S 2.39-2.42
Ag1 0.0000 0.5000 0.5000  6 S 2.57
S1 0.4674 0.7017 0.0356  3 Ti 2.39-2.42
S2 0.9631 0.5361 0.1960  3 Ti 2.39-2.46, 1 Ag 2.57
S3 0.4728 0.3662 0.3662  3 Ti 2.39-2.47, 1 Ag 2.57
S4 0.0318 0.1313 0.1313  3 Ti 2.39-2.41
S5 0.5326 0.9644 0.2983  3 Ti 2.39-2.42
S6 0.9631 0.1960 0.5361  3 Ti 2.39-2.46, 1 Ag 2.57
S7 0.4674 0.0356 0.7017  3 Ti 2.39-2.42
S8 0.0369 0.8040 0.4639  3 Ti 2.39-2.46, 1 Ag 2.57
S9 0.9682 0.8687 0.8687  3 Ti 2.39-2.41
S10 0.5272 0.6338 0.6338  3 Ti 2.39-2.47, 1 Ag 2.57
S11 0.0369 0.4639 0.8040  3 Ti 2.39-2.46, 1 Ag 2.57
S12 0.5326 0.2983 0.9644  3 Ti 2.39-2.42

## Properties
**N(E_F)**: 0.264 states/eV per atom
**Magnetic moment**: 0.000 μB per formula unit
**E**: -6.8362 eV/atom
**Space-group type**: C2/m, No. 12
**E_form (uncorrected)**: -1.265 eV/atom

---

(7)
An optimized crystal structure of TiAg2S2, computed with PBEsol.

abc: 4.8167 5.2561 4.8167
angles: 62.73 90.00 117.27
Last column: nearest neighbours and their distance in Å.
Element x y z (fractional)
S1 0.7500 0.5000 0.7500  4 Ag 2.51
S2 0.2500 0.5000 0.2500  4 Ag 2.51
Ag1 0.6604 0.3208 0.3396  4 S 2.51, 1 Ag 2.57, 1 Ti 2.72
Ag2 0.3396 0.6792 0.6604  4 S 2.51, 1 Ag 2.57, 1 Ti 2.72
Ti1 0.0000 0.0000 0.0000  2 Ag 2.72

## Properties
**N(E_F)**: 0.981 states/eV per atom
**Magnetic moment**: 1.650 μB per formula unit
**E**: -4.5241 eV/atom
**Space-group type**: I4/mmm, No. 139
**E_form (uncorrected)**: 0.218 eV/atom

---

(8)
An optimized crystal structure of TlAg3S2, computed with PBEsol.

abc: 6.8821 8.1063 8.6615
angles: 90.00 90.00 90.00
Last column: nearest neighbours and their distance in Å.
Element x y z (fractional)
Tl1 0.2500 0.0000 0.9302  4 S 3.12-3.27, 5 Ag 3.26-3.36
Tl2 0.7500 0.5000 0.5698  4 S 3.12-3.27, 5 Ag 3.26-3.36
Tl3 0.7500 0.0000 0.0698  4 S 3.12-3.27, 5 Ag 3.26-3.36
Tl4 0.2500 0.5000 0.4302  4 S 3.12-3.27, 5 Ag 3.26-3.36
Ag1 0.2500 0.0000 0.3176  2 S 2.41
Ag2 0.3834 0.6578 0.0969  3 S 2.53-2.60
Ag3 0.6166 0.1578 0.4031  3 S 2.53-2.60
Ag4 0.1166 0.3422 0.0969  3 S 2.53-2.60
Ag5 0.6166 0.3422 0.9031  3 S 2.53-2.60
Ag6 0.1166 0.1578 0.5969  3 S 2.53-2.60
Ag7 0.3834 0.8422 0.5969  3 S 2.53-2.60
Ag8 0.8834 0.6578 0.9031  3 S 2.53-2.60
Ag9 0.7500 0.0000 0.6824  2 S 2.41
Ag10 0.2500 0.5000 0.8176  2 S 2.41
Ag11 0.8834 0.8422 0.4031  3 S 2.53-2.60
Ag12 0.7500 0.5000 0.1824  2 S 2.41
S1 0.9794 0.3125 0.8262  4 Ag 2.41-2.60
S2 0.4794 0.1875 0.6738  4 Ag 2.41-2.60
S3 0.0206 0.8125 0.6738  4 Ag 2.41-2.60
S4 0.5206 0.6875 0.8262  4 Ag 2.41-2.60
S5 0.9794 0.1875 0.3262  4 Ag 2.41-2.60
S6 0.4794 0.3125 0.1738  4 Ag 2.41-2.60
S7 0.0206 0.6875 0.1738  4 Ag 2.41-2.60
S8 0.5206 0.8125 0.3262  4 Ag 2.41-2.60

## Properties
**Magnetic moment**: 0.000 μB per formula unit
**E**: -3.6703 eV/atom
**Space-group type**: Pbcn, No. 60
**E_form (uncorrected)**: -0.115 eV/atom

---

(9)
An optimized crystal structure of TlAg2S2, computed with PBEsol.

abc: 4.2033 4.2033 6.6033
angles: 108.56 108.56 90.00
Last column: nearest neighbours and their distance in Å.
Element x y z (fractional)
Tl1 0.0000 0.0000 0.0000  8 S 3.32, 8 Ag 3.62
S1 0.3744 0.3744 0.7488  4 Ag 2.56
S2 0.6256 0.6256 0.2512  4 Ag 2.56
Ag1 0.2500 0.7500 0.5000  4 S 2.56
Ag2 0.7500 0.2500 0.5000  4 S 2.56

## Properties
**N(E_F)**: 0.699 states/eV per atom
**Magnetic moment**: 0.000 μB per formula unit
**E**: -3.6569 eV/atom
**Space-group type**: I4/mmm, No. 139
**E_form (uncorrected)**: -0.053 eV/atom

---

(10)
An optimized crystal structure of YAgS3, computed with PBEsol.

abc: 4.6984 4.6984 4.6984
angles: 90.00 90.00 90.00
Last column: nearest neighbours and their distance in Å.
Element x y z (fractional)
Y1 0.5000 0.5000 0.5000  12 S 3.32
S1 0.0000 0.5000 0.0000  2 Ag 2.35
S2 0.0000 0.0000 0.5000  2 Ag 2.35
S3 0.5000 0.0000 0.0000  2 Ag 2.35
Ag1 0.0000 0.0000 0.0000  6 S 2.35

## Properties
**N(E_F)**: 0.264 states/eV per atom
**Magnetic moment**: 0.000 μB per formula unit
**E**: -5.0951 eV/atom
**Space-group type**: Pm-3m, No. 221
**E_form (uncorrected)**: -0.438 eV/atom

---

(11)
An optimized crystal structure of ZnAg2S2, computed with PBEsol.

abc: 3.4237 3.4237 7.7878
angles: 102.70 102.70 90.00
Last column: nearest neighbours and their distance in Å.
Element x y z (fractional)
Zn1 0.0000 0.0000 0.0000  8 Ag 2.77
S1 0.2500 0.7500 0.5000  4 S 2.42
S2 0.7500 0.2500 0.5000  4 S 2.42
Ag1 0.4094 0.4094 0.8187  1 Ag 2.68, 4 Zn 2.77, 4 S 2.91
Ag2 0.5906 0.5906 0.1813  1 Ag 2.68, 4 Zn 2.77, 4 S 2.91

## Properties
**N(E_F)**: 0.346 states/eV per atom
**Magnetic moment**: 0.000 μB per formula unit
**E**: -3.0977 eV/atom
**Space-group type**: I4/mmm, No. 139
**E_form (uncorrected)**: 0.297 eV/atom

---

(12)
An optimized crystal structure of ZrAgS3, computed with PBEsol.

abc: 4.6386 4.6386 4.6386
angles: 90.00 90.00 90.00
Last column: nearest neighbours and their distance in Å.
Element x y z (fractional)
S1 0.0000 0.5000 0.0000  2 Ag 2.32
S2 0.0000 0.0000 0.5000  2 Ag 2.32
S3 0.5000 0.0000 0.0000  2 Ag 2.32
Zr1 0.5000 0.5000 0.5000  12 S 3.28
Ag1 0.0000 0.0000 0.0000  6 S 2.32

## Properties
**N(E_F)**: 0.725 states/eV per atom
**Magnetic moment**: 0.518 μB per formula unit
**E**: -4.8841 eV/atom
**Space-group type**: Pm-3m, No. 221
**E_form (uncorrected)**: 0.227 eV/atom